VASP calculation (PBE) on a geometry-optimized Tb3Sm12In structure.

## Properties
- spin magnetization (μB/f.u.) = 0.00
- calculated total energy (eV/atom) = -4.6250
- crystal system = tetragonal
- space group = P4/mmm, No. 123

abc: 5.043 5.043 20.463
angles: 90.00 90.00 90.00
Atoms (fractional coordinates):
1 Tb 0.000 0.000 0.000
2 Tb 0.000 0.000 0.252
3 Tb 0.000 0.000 0.748
4 Sm 0.000 0.500 0.127
5 Sm 0.000 0.500 0.379
6 Sm 0.000 0.500 0.621
7 Sm 0.000 0.500 0.873
8 Sm 0.500 0.000 0.127
9 Sm 0.500 0.000 0.379
10 Sm 0.500 0.000 0.621
11 Sm 0.500 0.000 0.873
12 Sm 0.500 0.500 0.000
13 Sm 0.500 0.500 0.254
14 Sm 0.500 0.500 0.500
15 Sm 0.500 0.500 0.746
16 In 0.000 0.000 0.500